This record from the Alexandria database describes IrRu2Rh after structural relaxation. The functional is GGA-PBEsol.

a b c (Å): 3.7730 3.7730 3.7964
angles (deg): 90.00 90.00 90.00
Closest atoms and distances in Å follow each position.
Atoms (fractional coordinates):
Ru  0.0000  0.5000  0.0000  4 Ru 2.67, 4 Ir 2.68, 4 Rh 2.68
Ru  0.5000  0.0000  0.0000  4 Ru 2.67, 4 Rh 2.68, 4 Ir 2.68
Rh  0.0000  0.0000  0.5000  4 Ir 2.67, 8 Ru 2.68
Ir  0.5000  0.5000  0.5000  4 Rh 2.67, 8 Ru 2.68

Results
- crystal system = tetragonal
- space-group type = P4/mmm, No. 123
- size of the total moment (μB/cell) = 0.0
- formation energy (meV/atom) = 11
- mass density (kg/m3) = 15279